Compound: BeCoHg2
Source: Alexandria via LeMat-Bulk
Functional: GGA-PBEsol
Structure: optimized geometry

It has space group F-43m (No. 216), with a = 6.2441 Å, b = 6.2441 Å, c = 6.2441 Å, α = 90.00°, β = 90.00° and γ = 90.00°. The asymmetric unit holds Be at (0.0000, 0.0000, 0.0000), Co at (0.2500, 0.2500, 0.7500), Hg at (0.0000, 0.0000, 0.5000) and Hg at (0.2500, 0.2500, 0.2500).

The calculation puts the magnetic moment at 3.9 μB/cell. The calculation puts the formation energy from the elements at 0.55 eV per atom. The calculation puts the final energy at -2.6689 eV/atom.

Compound: NaSi2I
Source: Alexandria via LeMat-Bulk
Functional: GGA-PBEsol
Structure: optimized geometry

It has space group Fm-3m (No. 225), with a = 7.1205 Å, b = 7.1205 Å, c = 7.1205 Å, α = 90.00°, β = 90.00° and γ = 90.00°. The asymmetric unit holds Na at (0.0000, 0.0000, 0.0000), Si at (0.2500, 0.2500, 0.2500) and I at (0.0000, 0.0000, 0.5000).

The calculation puts the magnetic moment at 0.0 μB/cell. As for the uncorrected formation energy: 0.78 eV per atom. The calculation puts the final energy at -2.8844 eV/atom.

Question: What is the final energy in the second record?
Answer: -2.8844 eV/atom